(1)
VASP calculation (PBE) on Li3CuAu after structural relaxation.

Computed properties:
ΔE to the lowest computed polymorph = 2.12 eV/f.u.
Magnetization = 0.000 μB per cell
SG = Pm-3m (221)

Unit cell a=4.784 b=4.784 c=4.784 alpha=90.00 beta=90.00 gamma=90.00
Atoms (fractional coordinates):
Li (0.000, 0.000, 0.500)
Li (0.500, 0.000, 0.000)
Cu (0.500, 0.500, 0.500)
Li (0.000, 0.500, 0.000)
Au (0.000, 0.000, 0.000)

(2)
VASP calculation (PBE) on LiCu3Au3 after structural relaxation.

Computed properties:
ΔE to the lowest computed polymorph = 0.00 eV/f.u.
Magnetization = 0.000 μB per cell
SG = P6_3/m (176)

Unit cell a=4.607 b=7.270 c=7.270 alpha=120.00 beta=90.00 gamma=90.00
Atoms (fractional coordinates):
Li (0.750, 0.333, 0.667)
Au (0.750, 0.047, 0.785)
Cu (0.750, 0.480, 0.106)
Cu (0.250, 0.374, 0.480)
Cu (0.750, 0.626, 0.520)
Au (0.750, 0.738, 0.953)
Cu (0.250, 0.106, 0.626)
Cu (0.250, 0.520, 0.894)
Li (0.250, 0.667, 0.333)
Au (0.250, 0.785, 0.738)
Au (0.250, 0.262, 0.047)
Au (0.750, 0.215, 0.262)
Cu (0.750, 0.894, 0.374)
Au (0.250, 0.953, 0.215)

(3)
VASP calculation (PBE) on LiCuAu2 after structural relaxation.

Computed properties:
DFT total energy = -3.447 eV per atom
Magnetization = 0.000 μB per cell
SG = I4/mmm (139)

Unit cell a=4.584 b=4.584 c=4.584 alpha=126.14 beta=126.13 gamma=79.67
Atoms (fractional coordinates):
Au (0.500, 0.500, 0.000)
Au (0.000, 0.000, 0.000)
Cu (0.750, 0.250, 0.500)
Li (0.250, 0.750, 0.500)

(4)
VASP calculation (PBE) on LiCu2Au after structural relaxation.

Computed properties:
ΔE to the lowest computed polymorph = 0.30 eV/f.u.
Magnetization = 0.000 μB per cell
SG = P2/m (10)

Unit cell a=4.385 b=2.693 c=4.742 alpha=82.40 beta=90.00 gamma=90.00
Atoms (fractional coordinates):
Li (0.500, 0.250, 0.250)
Cu (0.000, 0.462, 0.487)
Cu (0.000, 0.038, 0.013)
Au (0.500, 0.750, 0.750)

(5)
VASP calculation (PBE) on LiCu4Au5 after structural relaxation.

Computed properties:
DFT total energy = -3.600 eV per atom
Magnetization = 0.000 μB per cell
SG = P4/mmm (123)

Unit cell a=2.999 b=2.999 c=16.847 alpha=90.00 beta=90.00 gamma=90.00
Atoms (fractional coordinates):
Cu (0.000, 0.000, 0.800)
Cu (0.000, 0.000, 0.400)
Cu (0.000, 0.000, 0.200)
Au (0.500, 0.500, 0.101)
Au (0.500, 0.500, 0.699)
Au (0.500, 0.500, 0.500)
Au (0.500, 0.500, 0.301)
Au (0.500, 0.500, 0.899)
Li (0.000, 0.000, 0.000)
Cu (0.000, 0.000, 0.600)

(6)
VASP calculation (PBE) on LiCu5Au6 after structural relaxation.

Computed properties:
ΔE to the lowest computed polymorph = 0.03 eV/f.u.
Magnetization = 0.000 μB per cell
SG = C2/m (12)

Unit cell a=8.145 b=4.150 c=6.522 alpha=71.45 beta=80.86 gamma=60.05
Atoms (fractional coordinates):
Cu (0.500, 0.500, 0.000)
Cu (0.500, 0.162, 0.676)
Li (0.000, 0.000, 0.000)
Au (0.254, 0.913, 0.667)
Au (0.758, 0.741, 0.000)
Au (0.746, 0.420, 0.667)
Cu (0.500, 0.838, 0.324)
Au (0.242, 0.259, 0.000)
Au (0.746, 0.087, 0.333)
Au (0.254, 0.580, 0.333)
Cu (0.000, 0.671, 0.658)
Cu (0.000, 0.329, 0.342)

(7)
VASP calculation (PBE) on LiCu2Au8 after structural relaxation.

Computed properties:
DFT total energy = -3.439 eV per atom
Magnetization = 0.000 μB per cell
SG = C2/m (12)

Unit cell a=4.147 b=6.487 c=7.456 alpha=106.61 beta=106.14 gamma=90.00
Atoms (fractional coordinates):
Au (0.320, 0.076, 0.640)
Au (0.953, 0.270, 0.905)
Au (0.600, 0.458, 0.199)
Li (0.500, 0.000, 0.000)
Au (0.680, 0.924, 0.360)
Cu (0.226, 0.634, 0.451)
Cu (0.774, 0.366, 0.549)
Au (0.047, 0.730, 0.095)
Au (0.400, 0.542, 0.801)
Au (0.858, 0.803, 0.717)
Au (0.142, 0.197, 0.283)

(8)
VASP calculation (PBE) on LiCuAu2 after structural relaxation.

Computed properties:
DFT total energy = -3.392 eV per atom
Magnetization = 0.000 μB per cell
SG = Pmm2 (25)

Unit cell a=2.816 b=4.068 c=5.447 alpha=90.00 beta=90.00 gamma=90.00
Atoms (fractional coordinates):
Li (0.500, 0.500, 0.759)
Au (0.000, 0.000, 0.970)
Cu (0.000, 0.000, 0.488)
Au (0.500, 0.500, 0.283)

(9)
VASP calculation (PBE) on LiLuCuAu after structural relaxation.

Computed properties:
DFT total energy = -3.872 eV per atom
Magnetization = 0.000 μB per cell
SG = F-43m (216)

Unit cell a=4.686 b=4.686 c=4.686 alpha=60.00 beta=60.00 gamma=60.00
Atoms (fractional coordinates):
Li (0.500, 0.500, 0.500)
Cu (0.750, 0.750, 0.750)
Au (0.250, 0.250, 0.250)
Lu (0.000, 0.000, 0.000)

(10)
VASP calculation (PBE) on LiCuMoAu2 after structural relaxation.

Computed properties:
DFT total energy = -3.863 eV per atom
Magnetization = 3.719 μB per cell
SG = P4/mmm (123)

Unit cell a=4.846 b=4.657 c=4.846 alpha=90.00 beta=90.00 gamma=90.00
Last column: magnetic moment on the atom in μB.
Atoms (fractional coordinates):
Cu (0.000, 0.000, 0.000)  0.22
Au (0.000, 0.000, 0.500)  0.03
Li (0.500, 0.500, 0.500)  0.02
Au (0.500, 0.000, 0.000)  0.01
Mo (0.000, 0.500, 0.000)  2.82

(11)
VASP calculation (PBE) on LiCu2AuN after structural relaxation.

Computed properties:
Magnetization = 0.000 μB per cell
SG = P4/mmm (123)
Raw formation energy = -3.4 kJ/mol of atoms

Unit cell a=3.859 b=3.859 c=4.096 alpha=90.00 beta=90.00 gamma=90.00
Atoms (fractional coordinates):
Cu (0.500, 0.000, 0.000)
Cu (0.000, 0.500, 0.000)
Au (0.500, 0.500, 0.500)
N (0.000, 0.000, 0.000)
Li (0.000, 0.000, 0.500)

(12)
VASP calculation (PBE) on NaLiCuAu after structural relaxation.

Computed properties:
DFT total energy = -2.796 eV per atom
Magnetization = 0.000 μB per cell
SG = F-43m (216)

Unit cell a=4.552 b=4.552 c=4.552 alpha=60.00 beta=60.00 gamma=60.00
Atoms (fractional coordinates):
Li (0.250, 0.250, 0.250)
Au (0.000, 0.000, 0.000)
Cu (0.750, 0.750, 0.750)
Na (0.500, 0.500, 0.500)